15
Lattice="6.8425 -0.0003 0.0012 -3.4215 5.9261 -0.0205 0.0014 -3.9318 5.5515" Properties=species:S:1:pos:R:3 comment="PBE+U Na3Pm3CoO8, optimized geometry" final_energy_ha_per_atom=-0.2353 vol_a3_per_atom=14.97 sg=R-3m pbc="T T T"
Na 0.0000 0.0000 0.0000
Na -1.7108 2.9630 -0.0102
Na 1.7105 2.9629 -0.0096
Pm 3.4219 -1.9661 2.7764
Pm 1.7112 0.9970 2.7661
Pm -1.7101 0.9971 2.7655
Co 0.0007 -1.9659 2.7757
O 0.0009 1.9807 1.5514
O 3.4214 0.0132 3.9809
O 3.4221 2.2636 1.6811
O 0.0002 -0.2697 3.8511
O 5.3776 -1.1235 1.6929
O -1.9553 3.1174 3.8394
O 1.4668 -1.1233 1.6922
O 1.9555 3.1173 3.8401